Entry 1:
# Ce3Sc2

Crystalline Ce3Sc2 at its relaxed geometry (PBE, Alexandria).

Calculated values
The symmetry is R-3m (166). The calculation puts the volume at 387.7 Å³ per cell. Its total magnetization is 0.00 Bohr magnetons per cell. The total energy is -6.05 eV per atom. Its formation energy is 4 kJ per mole of atoms. The energy above the most stable polymorph in this dataset comes out at 0 meV per atom. The value obtained for the density is 6.6 g/cm3.

a b c (Å): 3.3274 3.3274 40.4314
angles (deg): 90.00 90.00 120.00
Last column: nearest neighbours and their distance in Å.
Element x y z (fractional)
1 Ce 0.0000 0.0000 0.0000  12 Ce 3.32-3.33
2 Ce 0.0000 0.0000 0.4003  9 Ce 3.32-3.33, 3 Sc 3.33
3 Ce 0.0000 0.0000 0.5997  9 Ce 3.32-3.33, 3 Sc 3.33
4 Ce 0.3333 0.6667 0.0670  9 Ce 3.32-3.33, 3 Sc 3.33
5 Ce 0.3333 0.6667 0.2664  9 Ce 3.32-3.33, 3 Sc 3.33
6 Ce 0.3333 0.6667 0.6667  12 Ce 3.32-3.33
7 Ce 0.6667 0.3333 0.3333  12 Ce 3.32-3.33
8 Ce 0.6667 0.3333 0.7336  9 Ce 3.32-3.33, 3 Sc 3.33
9 Ce 0.6667 0.3333 0.9330  9 Ce 3.32-3.33, 3 Sc 3.33
10 Sc 0.0000 0.0000 0.1992  9 Sc 3.26-3.33, 3 Ce 3.33
11 Sc 0.0000 0.0000 0.8008  9 Sc 3.26-3.33, 3 Ce 3.33
12 Sc 0.3333 0.6667 0.4675  9 Sc 3.26-3.33, 3 Ce 3.33
13 Sc 0.3333 0.6667 0.8659  9 Sc 3.26-3.33, 3 Ce 3.33
14 Sc 0.6667 0.3333 0.1341  9 Sc 3.26-3.33, 3 Ce 3.33
15 Sc 0.6667 0.3333 0.5325  9 Sc 3.26-3.33, 3 Ce 3.33


Entry 2:
# CeSc6

Crystalline CeSc6 at its relaxed geometry (PBE, Alexandria).

Calculated values
The symmetry is Im-3m (229). The calculation puts the volume at 399.5 Å³ per cell. Its total magnetization is 3.07 Bohr magnetons per cell. The total energy is -5.01 eV per atom. Its formation energy is 122 kJ per mole of atoms. The value obtained for the density is 3.4 g/cm3.

a b c (Å): 7.3650 7.3650 7.3650
angles (deg): 90.00 90.00 90.00
Last column: nearest neighbours and their distance in Å.
Element x y z (fractional)
1 Ce 0.0000 0.0000 0.0000  24 Sc 4.12
2 Ce 0.5000 0.5000 0.5000  24 Sc 4.12
3 Sc 0.0000 0.2500 0.5000  4 Sc 2.60
4 Sc 0.0000 0.5000 0.2500  4 Sc 2.60
5 Sc 0.0000 0.5000 0.7500  4 Sc 2.60
6 Sc 0.0000 0.7500 0.5000  4 Sc 2.60
7 Sc 0.2500 0.0000 0.5000  4 Sc 2.60
8 Sc 0.2500 0.5000 0.0000  4 Sc 2.60
9 Sc 0.5000 0.0000 0.2500  4 Sc 2.60
10 Sc 0.5000 0.0000 0.7500  4 Sc 2.60
11 Sc 0.5000 0.2500 0.0000  4 Sc 2.60
12 Sc 0.5000 0.7500 0.0000  4 Sc 2.60
13 Sc 0.7500 0.0000 0.5000  4 Sc 2.60
14 Sc 0.7500 0.5000 0.0000  4 Sc 2.60


Entry 3:
# Ce5Sc

Crystalline Ce5Sc at its relaxed geometry (PBE, Alexandria).

Calculated values
The symmetry is Cmmm (65). The calculation puts the volume at 309.6 Å³ per cell. Its total magnetization is 0.00 Bohr magnetons per cell. The total energy is -5.87 eV per atom. Its formation energy is 13 kJ per mole of atoms. The value obtained for the density is 8.0 g/cm3.

a b c (Å): 5.5690 17.2131 3.2294
angles (deg): 90.00 90.00 90.00
Last column: nearest neighbours and their distance in Å.
Element x y z (fractional)
1 Ce 0.0000 0.0000 0.0000  6 Ce 3.08-3.23, 4 Sc 3.22
2 Ce 0.0000 0.1524 0.5000  10 Ce 3.08-3.39
3 Ce 0.0000 0.3255 0.0000  8 Ce 3.23-3.39, 2 Sc 3.41
4 Ce 0.0000 0.6745 0.0000  8 Ce 3.23-3.39, 2 Sc 3.41
5 Ce 0.0000 0.8476 0.5000  10 Ce 3.08-3.39
6 Ce 0.5000 0.1745 0.0000  8 Ce 3.23-3.39, 2 Sc 3.41
7 Ce 0.5000 0.3476 0.5000  10 Ce 3.08-3.39
8 Ce 0.5000 0.5000 0.0000  6 Ce 3.08-3.23, 4 Sc 3.22
9 Ce 0.5000 0.6524 0.5000  10 Ce 3.08-3.39
10 Ce 0.5000 0.8255 0.0000  8 Ce 3.23-3.39, 2 Sc 3.41
11 Sc 0.0000 0.5000 0.5000  8 Ce 3.22-3.41, 2 Sc 3.23
12 Sc 0.5000 0.0000 0.5000  8 Ce 3.22-3.41, 2 Sc 3.23


Entry 4:
# CeSc2

Crystalline CeSc2 at its relaxed geometry (PBE, Alexandria).

Calculated values
The symmetry is P6_3/mmc (194). The calculation puts the volume at 152.5 Å³ per cell. Its total magnetization is 0.00 Bohr magnetons per cell. The total energy is -6.04 eV per atom. Its formation energy is 15 kJ per mole of atoms. The energy above the most stable polymorph in this dataset comes out at 136 meV per atom. The value obtained for the density is 5.0 g/cm3.

a b c (Å): 3.2146 3.2146 17.0352
angles (deg): 90.00 90.00 120.00
Last column: nearest neighbours and their distance in Å.
Element x y z (fractional)
1 Ce 0.3333 0.6667 0.2500  6 Ce 3.21, 6 Sc 3.32
2 Ce 0.6667 0.3333 0.7500  6 Ce 3.21, 6 Sc 3.32
3 Sc 0.0000 0.0000 0.0883  7 Sc 3.01-3.21, 3 Ce 3.32
4 Sc 0.0000 0.0000 0.4117  7 Sc 3.01-3.21, 3 Ce 3.32
5 Sc 0.0000 0.0000 0.5883  7 Sc 3.01-3.21, 3 Ce 3.32
6 Sc 0.0000 0.0000 0.9117  7 Sc 3.01-3.21, 3 Ce 3.32